(1)
An optimized crystal structure of Y7ErTh3. Source: the Alexandria database, functional PBE.

## Properties
DFT formation energy, eV/f.u.: 1.728
Energy above the most stable polymorph in this dataset, eV per formula unit: 0.000
Uncorrected energy, eV/atom: -6.395
Total magnetization, μB per atom: 0.0000

Unit cell a=6.459 b=6.715 c=8.689 alpha=101.39 beta=97.00 gamma=96.76
Space group P-1 (No. 2)
Symmetry-distinct sites (fractional):
Y 0.000 0.000 0.000 x1
Y 0.069 0.714 0.645 x2
Y 0.207 0.231 0.705 x2
Y 0.492 0.731 0.924 x2
Er 0.000 0.500 0.000 x1
Th 0.324 0.945 0.337 x2
Th 0.500 0.500 0.500 x1

(2)
An optimized crystal structure of Na2SmHgBi2. Source: the Alexandria database, functional PBE.

## Properties
DFT formation energy, eV/f.u.: -2.466
Uncorrected energy, eV/atom: -2.981
Total magnetization, μB per atom: 0.0000

Unit cell a=4.910 b=9.486 c=7.662 alpha=90.00 beta=90.00 gamma=90.00
Space group Pmc2_1 (No. 26)
Symmetry-distinct sites (fractional):
Na 0.000 0.033 0.000 x2
Na 0.500 0.156 0.289 x2
Sm 0.500 0.485 0.949 x2
Hg 0.000 0.321 0.595 x2
Bi 0.000 0.352 0.183 x2
Bi 0.500 0.181 0.736 x2